Compound: RbGaAs2Se
Source: the Alexandria database
Functional: SCAN
Structure: PBEsol geometry

## Properties
**Relative energy among the computed polymorphs**: 0.0 kJ/mol of atoms
**VASP energy**: -1.428 Ry per atom
**Formation energy (no corrections)**: 0.08 eV per atom
**Space-group type**: P4/mmm, No. 123
**Total magnetic moment**: 1.295 μB per formula unit
**D(E_F)**: 3.12 states/eV per cell

Geometry as CIF:
```
data_RbGaAs2Se
_cell_length_a 4.963
_cell_length_b 4.963
_cell_length_c 5.266
_cell_angle_alpha 90.00
_cell_angle_beta 90.00
_cell_angle_gamma 90.00
_space_group_name_H-M_alt 'P 1'
_space_group_IT_number 1
_space_group_name_Hall 'P 1'
loop_
_atom_site_label
_atom_site_type_symbol
_atom_site_fract_x
_atom_site_fract_y
_atom_site_fract_z
Rb1 Rb 0.000 0.000 0.000
Ga1 Ga 0.500 0.500 0.500
As1 As 0.000 0.500 0.500
As2 As 0.500 0.000 0.500
Se1 Se 0.500 0.500 0.000
```

=====

Compound: RbGaAs2Se
Source: the Alexandria database
Functional: SCAN
Structure: PBEsol geometry

## Properties
**Relative energy among the computed polymorphs**: 132.3 kJ/mol of atoms
**VASP energy**: -1.327 Ry per atom
**Formation energy (no corrections)**: 1.45 eV per atom
**Space-group type**: P4/mmm, No. 123
**Total magnetic moment**: 1.609 μB per formula unit
**D(E_F)**: 4.78 states/eV per cell

Geometry as CIF:
```
data_RbGaAs2Se
_cell_length_a 5.535
_cell_length_b 5.535
_cell_length_c 5.674
_cell_angle_alpha 90.00
_cell_angle_beta 90.00
_cell_angle_gamma 90.00
_space_group_name_H-M_alt 'P 1'
_space_group_IT_number 1
_space_group_name_Hall 'P 1'
loop_
_atom_site_label
_atom_site_type_symbol
_atom_site_fract_x
_atom_site_fract_y
_atom_site_fract_z
Rb1 Rb 0.000 0.000 0.000
Ga1 Ga 0.500 0.500 0.500
As1 As 0.000 0.500 0.000
As2 As 0.500 0.000 0.000
Se1 Se 0.000 0.000 0.500
```

=====

Compound: GaReAs3
Source: the Alexandria database
Functional: SCAN
Structure: PBEsol geometry

## Properties
**VASP energy**: -2.057 Ry per atom
**Space-group type**: Pm-3m, No. 221
**Total magnetic moment**: 3.036 μB per formula unit
**D(E_F)**: 3.04 states/eV per cell

Geometry as CIF:
```
data_GaReAs3
_cell_length_a 4.683
_cell_length_b 4.683
_cell_length_c 4.683
_cell_angle_alpha 90.00
_cell_angle_beta 90.00
_cell_angle_gamma 90.00
_space_group_name_H-M_alt 'P 1'
_space_group_IT_number 1
_space_group_name_Hall 'P 1'
loop_
_atom_site_label
_atom_site_type_symbol
_atom_site_fract_x
_atom_site_fract_y
_atom_site_fract_z
Ga1 Ga 0.000 0.000 0.000
Re1 Re 0.500 0.500 0.500
As1 As 0.000 0.000 0.500
As2 As 0.000 0.500 0.000
As3 As 0.500 0.000 0.000
```

=====

Compound: GaReAs2Se
Source: the Alexandria database
Functional: SCAN
Structure: PBEsol geometry

## Properties
**VASP energy**: -2.132 Ry per atom
**Formation energy (no corrections)**: 0.57 eV per atom
**Space-group type**: P4/mmm, No. 123
**Total magnetic moment**: 0.346 μB per formula unit
**D(E_F)**: 3.75 states/eV per cell

Geometry as CIF:
```
data_GaReAs2Se
_cell_length_a 4.680
_cell_length_b 4.680
_cell_length_c 5.361
_cell_angle_alpha 90.00
_cell_angle_beta 90.00
_cell_angle_gamma 90.00
_space_group_name_H-M_alt 'P 1'
_space_group_IT_number 1
_space_group_name_Hall 'P 1'
loop_
_atom_site_label
_atom_site_type_symbol
_atom_site_fract_x
_atom_site_fract_y
_atom_site_fract_z
Ga1 Ga 0.000 0.000 0.000
Re1 Re 0.500 0.500 0.500
As1 As 0.000 0.500 0.500
As2 As 0.500 0.000 0.500
Se1 Se 0.500 0.500 0.000
```

=====

Compound: GaAsRhSe2
Source: the Alexandria database
Functional: SCAN
Structure: PBEsol geometry

## Properties
**VASP energy**: -1.600 Ry per atom
**Formation energy (no corrections)**: 0.32 eV per atom
**Space-group type**: P4/mmm, No. 123
**Total magnetic moment**: 0.001 μB per formula unit
**D(E_F)**: 5.33 states/eV per cell

Geometry as CIF:
```
data_GaAsRhSe2
_cell_length_a 5.033
_cell_length_b 5.033
_cell_length_c 4.498
_cell_angle_alpha 90.00
_cell_angle_beta 90.00
_cell_angle_gamma 90.00
_space_group_name_H-M_alt 'P 1'
_space_group_IT_number 1
_space_group_name_Hall 'P 1'
loop_
_atom_site_label
_atom_site_type_symbol
_atom_site_fract_x
_atom_site_fract_y
_atom_site_fract_z
Ga1 Ga 0.000 0.000 0.000
As1 As 0.500 0.500 0.000
Rh1 Rh 0.500 0.500 0.500
Se1 Se 0.000 0.500 0.500
Se2 Se 0.500 0.000 0.500
```

=====

Compound: GaAsRu2
Source: the Alexandria database
Functional: SCAN
Structure: PBEsol geometry

## Properties
**VASP energy**: -1.971 Ry per atom
**Space-group type**: Fm-3m, No. 225
**Total magnetic moment**: 0.000 μB per formula unit
**D(E_F)**: 0.85 states/eV per cell

Geometry as CIF:
```
data_GaAsRu2
_cell_length_a 4.242
_cell_length_b 4.242
_cell_length_c 4.242
_cell_angle_alpha 60.00
_cell_angle_beta 60.00
_cell_angle_gamma 60.00
_space_group_name_H-M_alt 'P 1'
_space_group_IT_number 1
_space_group_name_Hall 'P 1'
loop_
_atom_site_label
_atom_site_type_symbol
_atom_site_fract_x
_atom_site_fract_y
_atom_site_fract_z
Ga1 Ga 0.000 0.000 0.000
As1 As 0.500 0.500 0.500
Ru1 Ru 0.250 0.250 0.250
Ru2 Ru 0.750 0.750 0.750
```

=====

Compound: GaAs2SeS
Source: the Alexandria database
Functional: SCAN
Structure: PBEsol geometry

## Properties
**Relative energy among the computed polymorphs**: 0.0 kJ/mol of atoms
**VASP energy**: -1.219 Ry per atom
**Formation energy (no corrections)**: 0.70 eV per atom
**Space-group type**: P4/mmm, No. 123
**Total magnetic moment**: 0.002 μB per formula unit
**D(E_F)**: 4.10 states/eV per cell

Geometry as CIF:
```
data_GaAs2SeS
_cell_length_a 4.737
_cell_length_b 4.737
_cell_length_c 4.927
_cell_angle_alpha 90.00
_cell_angle_beta 90.00
_cell_angle_gamma 90.00
_space_group_name_H-M_alt 'P 1'
_space_group_IT_number 1
_space_group_name_Hall 'P 1'
loop_
_atom_site_label
_atom_site_type_symbol
_atom_site_fract_x
_atom_site_fract_y
_atom_site_fract_z
Ga1 Ga 0.000 0.000 0.000
As1 As 0.000 0.500 0.500
As2 As 0.500 0.000 0.500
Se1 Se 0.500 0.500 0.000
S1 S 0.500 0.500 0.500
```

=====

Compound: GaAs2SeS
Source: the Alexandria database
Functional: SCAN
Structure: PBEsol geometry

## Properties
**Relative energy among the computed polymorphs**: 23.6 kJ/mol of atoms
**VASP energy**: -1.201 Ry per atom
**Formation energy (no corrections)**: 0.94 eV per atom
**Space-group type**: P4/mmm, No. 123
**Total magnetic moment**: 0.000 μB per formula unit
**D(E_F)**: 4.64 states/eV per cell

Geometry as CIF:
```
data_GaAs2SeS
_cell_length_a 4.873
_cell_length_b 4.873
_cell_length_c 4.709
_cell_angle_alpha 90.00
_cell_angle_beta 90.00
_cell_angle_gamma 90.00
_space_group_name_H-M_alt 'P 1'
_space_group_IT_number 1
_space_group_name_Hall 'P 1'
loop_
_atom_site_label
_atom_site_type_symbol
_atom_site_fract_x
_atom_site_fract_y
_atom_site_fract_z
Ga1 Ga 0.000 0.000 0.000
As1 As 0.000 0.500 0.000
As2 As 0.500 0.000 0.000
Se1 Se 0.000 0.000 0.500
S1 S 0.500 0.500 0.500
```

=====

Compound: GaAsSe2S
Source: the Alexandria database
Functional: SCAN
Structure: PBEsol geometry

## Properties
**VASP energy**: -1.206 Ry per atom
**Formation energy (no corrections)**: 0.86 eV per atom
**Space-group type**: P4/mmm, No. 123
**Total magnetic moment**: 0.006 μB per formula unit
**D(E_F)**: 5.51 states/eV per cell

Geometry as CIF:
```
data_GaAsSe2S
_cell_length_a 4.772
_cell_length_b 4.772
_cell_length_c 4.958
_cell_angle_alpha 90.00
_cell_angle_beta 90.00
_cell_angle_gamma 90.00
_space_group_name_H-M_alt 'P 1'
_space_group_IT_number 1
_space_group_name_Hall 'P 1'
loop_
_atom_site_label
_atom_site_type_symbol
_atom_site_fract_x
_atom_site_fract_y
_atom_site_fract_z
Ga1 Ga 0.000 0.000 0.000
As1 As 0.000 0.000 0.500
Se1 Se 0.000 0.500 0.000
Se2 Se 0.500 0.000 0.000
S1 S 0.500 0.500 0.500
```

=====

Compound: GaSbAsSe2
Source: the Alexandria database
Functional: SCAN
Structure: PBEsol geometry

## Properties
**VASP energy**: -1.633 Ry per atom
**Formation energy (no corrections)**: 0.57 eV per atom
**Space-group type**: P4/mmm, No. 123
**Total magnetic moment**: 0.009 μB per formula unit
**D(E_F)**: 4.32 states/eV per cell

Geometry as CIF:
```
data_GaSbAsSe2
_cell_length_a 5.276
_cell_length_b 5.276
_cell_length_c 5.199
_cell_angle_alpha 90.00
_cell_angle_beta 90.00
_cell_angle_gamma 90.00
_space_group_name_H-M_alt 'P 1'
_space_group_IT_number 1
_space_group_name_Hall 'P 1'
loop_
_atom_site_label
_atom_site_type_symbol
_atom_site_fract_x
_atom_site_fract_y
_atom_site_fract_z
Ga1 Ga 0.000 0.000 0.000
Sb1 Sb 0.500 0.500 0.500
As1 As 0.500 0.500 0.000
Se1 Se 0.000 0.500 0.500
Se2 Se 0.500 0.000 0.500
```

=====

Compound: ZrGaSbAs2
Source: the Alexandria database
Functional: SCAN
Structure: PBEsol geometry

## Properties
**VASP energy**: -1.794 Ry per atom
**Formation energy (no corrections)**: 0.53 eV per atom
**Space-group type**: P4/mmm, No. 123
**Total magnetic moment**: 0.000 μB per formula unit
**D(E_F)**: 4.21 states/eV per cell

Geometry as CIF:
```
data_ZrGaSbAs2
_cell_length_a 4.703
_cell_length_b 4.703
_cell_length_c 5.294
_cell_angle_alpha 90.00
_cell_angle_beta 90.00
_cell_angle_gamma 90.00
_space_group_name_H-M_alt 'P 1'
_space_group_IT_number 1
_space_group_name_Hall 'P 1'
loop_
_atom_site_label
_atom_site_type_symbol
_atom_site_fract_x
_atom_site_fract_y
_atom_site_fract_z
Zr1 Zr 0.000 0.000 0.000
Ga1 Ga 0.000 0.000 0.500
Sb1 Sb 0.500 0.500 0.000
As1 As 0.000 0.500 0.500
As2 As 0.500 0.000 0.500
```

=====

Compound: Sc2TlGaAs
Source: the Alexandria database
Functional: SCAN
Structure: PBEsol geometry

## Properties
**VASP energy**: -2.015 Ry per atom
**Space-group type**: P4/mmm, No. 123
**Total magnetic moment**: 0.000 μB per formula unit
**D(E_F)**: 3.57 states/eV per cell

Geometry as CIF:
```
data_Sc2TlGaAs
_cell_length_a 5.080
_cell_length_b 5.080
_cell_length_c 4.748
_cell_angle_alpha 90.00
_cell_angle_beta 90.00
_cell_angle_gamma 90.00
_space_group_name_H-M_alt 'P 1'
_space_group_IT_number 1
_space_group_name_Hall 'P 1'
loop_
_atom_site_label
_atom_site_type_symbol
_atom_site_fract_x
_atom_site_fract_y
_atom_site_fract_z
Sc1 Sc 0.000 0.500 0.000
Sc2 Sc 0.500 0.000 0.000
Tl1 Tl 0.000 0.000 0.500
Ga1 Ga 0.500 0.500 0.000
As1 As 0.500 0.500 0.500
```